1.
ErMgTl2: PBEsol geometry, SCAN.

a = 7.2997 Å, b = 7.2997 Å, c = 7.2997 Å
α = 90.00°, β = 90.00°, γ = 90.00°
Positions (direct):
1 Er 0.0000 0.0000 0.0000
2 Er 0.0000 0.5000 0.5000
3 Er 0.5000 0.0000 0.5000
4 Er 0.5000 0.5000 0.0000
5 Mg 0.0000 0.0000 0.5000
6 Mg 0.0000 0.5000 0.0000
7 Mg 0.5000 0.0000 0.0000
8 Mg 0.5000 0.5000 0.5000
9 Tl 0.2500 0.2500 0.2500
10 Tl 0.2500 0.2500 0.7500
11 Tl 0.2500 0.7500 0.2500
12 Tl 0.2500 0.7500 0.7500
13 Tl 0.7500 0.2500 0.2500
14 Tl 0.7500 0.2500 0.7500
15 Tl 0.7500 0.7500 0.2500
16 Tl 0.7500 0.7500 0.7500

Calculated values
* formation energy from the elements: -0.35 eV/atom
* SG: Fm-3m (225)

2.
SiPt4Pb: PBEsol geometry, SCAN.

a = 5.2996 Å, b = 5.2996 Å, c = 5.2996 Å
α = 60.00°, β = 60.00°, γ = 60.00°
Positions (direct):
1 Si 0.0000 0.0000 0.0000
2 Pt 0.1237 0.6254 0.6254
3 Pt 0.6254 0.1237 0.6254
4 Pt 0.6254 0.6254 0.1237
5 Pt 0.6254 0.6254 0.6254
6 Pb 0.2500 0.2500 0.2500

Calculated values
* raw formation energy: 125 meV per atom
* SG: F-43m (216)

3.
SnPSN2: PBEsol geometry, SCAN.

a = 3.6282 Å, b = 3.6282 Å, c = 4.5837 Å
α = 90.00°, β = 90.00°, γ = 90.00°
Positions (direct):
1 Sn 0.0000 0.0000 0.0000
2 P 0.5000 0.5000 0.5000
3 S 0.5000 0.5000 0.0000
4 N 0.0000 0.5000 0.5000
5 N 0.5000 0.0000 0.5000

Calculated values
* raw formation energy: 752 meV per atom
* SG: P4/mmm (123)

4.
La3Mg: PBEsol geometry, SCAN.

a = 3.8511 Å, b = 5.7430 Å, c = 11.6212 Å
α = 90.00°, β = 90.00°, γ = 90.00°
Positions (direct):
1 La 0.0000 0.0000 0.0000
2 La 0.0000 0.5000 0.2350
3 La 0.0000 0.5000 0.7650
4 La 0.5000 0.0000 0.2650
5 La 0.5000 0.0000 0.7350
6 La 0.5000 0.5000 0.5000
7 Mg 0.0000 0.0000 0.5000
8 Mg 0.5000 0.5000 0.0000

Calculated values
* formation energy from the elements: -0.04 eV/atom
* SG: Immm (71)

5.
MgMnRu: PBEsol geometry, SCAN.

a = 5.7198 Å, b = 5.7198 Å, c = 5.7198 Å
α = 90.00°, β = 90.00°, γ = 90.00°
Positions (direct):
1 Mg 0.0000 0.0000 0.0000
2 Mg 0.0000 0.5000 0.5000
3 Mg 0.5000 0.0000 0.5000
4 Mg 0.5000 0.5000 0.0000
5 Mn 0.0000 0.0000 0.5000
6 Mn 0.0000 0.5000 0.0000
7 Mn 0.5000 0.0000 0.0000
8 Mn 0.5000 0.5000 0.5000
9 Ru 0.2500 0.2500 0.2500
10 Ru 0.2500 0.7500 0.7500
11 Ru 0.7500 0.2500 0.7500
12 Ru 0.7500 0.7500 0.2500

Calculated values
* formation energy from the elements: 0.48 eV/atom
* SG: F-43m (216)

6.
AgSb2Se: PBEsol geometry, SCAN.

a = 3.4608 Å, b = 4.6621 Å, c = 5.6838 Å
α = 90.00°, β = 90.00°, γ = 90.00°
Positions (direct):
1 Ag 0.0000 0.0000 0.0000
2 Sb 0.0000 0.5000 0.5000
3 Sb 0.5000 0.5000 0.0000
4 Se 0.5000 0.0000 0.5000

Calculated values
* raw formation energy: 245 meV per atom
* SG: Pmmm (47)

7.
Rb3PS: PBEsol geometry, SCAN.

a = 6.1976 Å, b = 6.1976 Å, c = 6.1976 Å
α = 90.00°, β = 90.00°, γ = 90.00°
Positions (direct):
1 Rb 0.0000 0.0000 0.5000
2 Rb 0.0000 0.5000 0.0000
3 Rb 0.5000 0.0000 0.0000
4 P 0.0000 0.0000 0.0000
5 S 0.5000 0.5000 0.5000

Calculated values
* raw formation energy: -110 meV per atom
* SG: Pm-3m (221)

8.
TiGeH3: PBEsol geometry, SCAN.

a = 3.5193 Å, b = 3.5193 Å, c = 3.5193 Å
α = 90.00°, β = 90.00°, γ = 90.00°
Positions (direct):
1 Ti 0.0000 0.0000 0.0000
2 Ge 0.5000 0.5000 0.5000
3 H 0.0000 0.5000 0.5000
4 H 0.5000 0.0000 0.5000
5 H 0.5000 0.5000 0.0000

Calculated values
* final energy: -8.43 eV/atom
* SG: Pm-3m (221)